1.
DFT (PBE) results for a relaxed structure of BaCa4Ac4.

The value obtained for the formation energy is 0.04 eV per atom.

It has space group I4/mmm (No. 139), with a = 11.991 Å, b = 11.991 Å, c = 5.678 Å, α = 90.00°, β = 90.00° and γ = 90.00°. The inequivalent atoms are Ba at (0.000, 0.000, 0.000), Ca at (0.172, 0.172, 0.500) and Ac at (0.000, 0.341, 0.000).



2.
DFT (PBE) results for a relaxed structure of Ba5In2O2.

For the uncorrected formation energy, the calculation gives -1.27 eV per atom.

It has space group C2/m (No. 12), with a = 14.631 Å, b = 5.999 Å, c = 7.445 Å, α = 90.00°, β = 97.59° and γ = 90.00°. The inequivalent atoms are Ba at (0.000, 0.000, 0.000), Ba at (0.156, 0.000, 0.565), Ba at (0.169, 0.500, 0.932), In at (0.063, 0.500, 0.360) and O at (0.168, 0.000, 0.902).



3.
DFT (PBE) results for a relaxed structure of CdGe2MoCl.

For the uncorrected formation energy, the calculation gives 1.21 eV per atom.

It has space group P4/mmm (No. 123), with a = 4.918 Å, b = 4.918 Å, c = 5.135 Å, α = 90.00°, β = 90.00° and γ = 90.00°. The inequivalent atoms are Cd at (0.000, 0.000, 0.000), Ge at (0.000, 0.500, 0.500), Mo at (0.500, 0.500, 0.000) and Cl at (0.000, 0.000, 0.500).



4.
DFT (PBE) results for a relaxed structure of Tc3RhI.

The energy above the most stable polymorph in this dataset comes out at 0 meV/atom. For the uncorrected formation energy, the calculation gives 1.90 eV per atom.

It has space group Pm-3m (No. 221), with a = 4.782 Å, b = 4.782 Å, c = 4.782 Å, α = 90.00°, β = 90.00° and γ = 90.00°. The inequivalent atoms are Tc at (0.000, 0.000, 0.500), Rh at (0.000, 0.000, 0.000) and I at (0.500, 0.500, 0.500).



5.
DFT (PBE) results for a relaxed structure of B.

The energy above the most stable polymorph in this dataset comes out at 182 meV/atom. The value obtained for the formation energy is 0.18 eV per atom.

It has space group R-3m (No. 166, hexagonal axes), with a = 2.8513 Å, b = 2.8513 Å, c = 12.5261 Å, α = 90.00°, β = 90.00° and γ = 120.00°. The inequivalent atoms are B at (0.0000, 0.0000, 0.0666) and B at (0.0000, 0.0000, 0.1979).



6.
DFT (PBE) results for a relaxed structure of SrPmZnSi.

For the uncorrected formation energy, the calculation gives -0.28 eV per atom.

It has space group F-43m (No. 216), with a = 7.433 Å, b = 7.433 Å, c = 7.433 Å, α = 90.00°, β = 90.00° and γ = 90.00°. The inequivalent atoms are Sr at (0.000, 0.000, 0.000), Pm at (0.000, 0.000, 0.500), Zn at (0.250, 0.250, 0.250) and Si at (0.250, 0.250, 0.750).



7.
DFT (PBE) results for a relaxed structure of Cs2CuTe2.

For the uncorrected formation energy, the calculation gives -0.18 eV per atom.

It has space group I4/mmm (No. 139), with a = 4.516 Å, b = 4.516 Å, c = 21.427 Å, α = 90.00°, β = 90.00° and γ = 90.00°. The inequivalent atoms are Cs at (0.000, 0.000, 0.102), Cu at (0.000, 0.000, 0.500) and Te at (0.000, 0.500, 0.250).



8.
DFT (PBE) results for a relaxed structure of BaNbP2S.

The energy above the most stable polymorph in this dataset comes out at 2541 meV/atom. For the uncorrected formation energy, the calculation gives 1.75 eV per atom.

It has space group P4/mmm (No. 123), with a = 5.309 Å, b = 5.309 Å, c = 5.460 Å, α = 90.00°, β = 90.00° and γ = 90.00°. The inequivalent atoms are Ba at (0.000, 0.000, 0.000), Nb at (0.500, 0.500, 0.500), P at (0.000, 0.500, 0.000) and S at (0.000, 0.000, 0.500).



9.
DFT (PBE) results for a relaxed structure of SmGaSn2.

The energy above the most stable polymorph in this dataset comes out at 771 meV/atom. The value obtained for the formation energy is 0.27 eV per atom.

It has space group R-3m (No. 166, hexagonal axes), with a = 5.1172 Å, b = 5.1172 Å, c = 22.4713 Å, α = 90.00°, β = 90.00° and γ = 120.00°. The inequivalent atoms are Sm at (0.0000, 0.0000, 0.0000), Ga at (0.0000, 0.0000, 0.5000) and Sn at (0.0000, 0.0000, 0.3827).



10.
DFT (PBE) results for a relaxed structure of CeSmGdSn.

The value obtained for the formation energy is -0.21 eV per atom.

It has space group F-43m (No. 216), with a = 7.681 Å, b = 7.681 Å, c = 7.681 Å, α = 90.00°, β = 90.00° and γ = 90.00°. The inequivalent atoms are Ce at (0.000, 0.000, 0.000), Sm at (0.250, 0.250, 0.750), Gd at (0.250, 0.250, 0.250) and Sn at (0.000, 0.000, 0.500).



11.
DFT (PBE) results for a relaxed structure of NaCoCl3.

For the uncorrected formation energy, the calculation gives 0.03 eV per atom.

It has space group Pm-3m (No. 221), with a = 5.013 Å, b = 5.013 Å, c = 5.013 Å, α = 90.00°, β = 90.00° and γ = 90.00°. The inequivalent atoms are Na at (0.000, 0.000, 0.000), Co at (0.500, 0.500, 0.500) and Cl at (0.000, 0.000, 0.500).



12.
DFT (PBE) results for a relaxed structure of RbCd3Ag.

The energy above the most stable polymorph in this dataset comes out at 788 meV/atom. The value obtained for the formation energy is 0.74 eV per atom.

It has space group Pm-3m (No. 221), with a = 6.807 Å, b = 6.807 Å, c = 6.807 Å, α = 90.00°, β = 90.00° and γ = 90.00°. The inequivalent atoms are Rb at (0.000, 0.000, 0.000), Cd at (0.000, 0.000, 0.500) and Ag at (0.500, 0.500, 0.500).



13.
DFT (PBE) results for a relaxed structure of LiBe2Se.

For the uncorrected formation energy, the calculation gives 0.00 eV per atom.

It has space group Cm (No. 8), with a = 7.408 Å, b = 3.451 Å, c = 4.921 Å, α = 90.00°, β = 99.46° and γ = 90.00°. The inequivalent atoms are Li at (0.000, 0.000, 0.000), Be at (0.194, 0.500, 0.404), Be at (0.384, 0.000, 0.313) and Se at (0.256, 0.000, 0.690).



14.
DFT (PBE) results for a relaxed structure of TbSm6Ho3Th2.

The value obtained for the formation energy is 0.04 eV per atom.

It has space group C2/m (No. 12), with a = 6.218 Å, b = 10.756 Å, c = 11.922 Å, α = 90.00°, β = 100.01° and γ = 90.00°. The inequivalent atoms are Tb at (0.000, 0.000, 0.000), Sm at (0.246, 0.500, 0.249), Sm at (0.249, 0.332, 0.751), Ho at (0.000, 0.167, 0.500), Ho at (0.000, 0.500, 0.500) and Th at (0.000, 0.333, 0.000).



15.
DFT (PBE) results for a relaxed structure of Ce2NdN3.

The energy above the most stable polymorph in this dataset comes out at 296 meV/atom. For the uncorrected formation energy, the calculation gives -1.17 eV per atom.

It has space group P6_3/mcm (No. 193), with a = 6.0235 Å, b = 6.0235 Å, c = 6.6477 Å, α = 90.00°, β = 90.00° and γ = 120.00°. The inequivalent atoms are Ce at (0.3333, 0.6667, 0.0000), Nd at (0.0000, 0.0000, 0.2500) and N at (0.0000, 0.4235, 0.2500).



16.
DFT (PBE) results for a relaxed structure of Mn2NbCuCl.

For the uncorrected formation energy, the calculation gives 0.88 eV per atom.

It has space group P4/mmm (No. 123), with a = 4.280 Å, b = 4.280 Å, c = 4.285 Å, α = 90.00°, β = 90.00° and γ = 90.00°. The inequivalent atoms are Mn at (0.000, 0.500, 0.000), Nb at (0.000, 0.000, 0.500), Cu at (0.500, 0.500, 0.500) and Cl at (0.500, 0.500, 0.000).



17.
DFT (PBE) results for a relaxed structure of Pr6NiSn3.

The value obtained for the formation energy is -0.34 eV per atom.

It has space group Cmc2_1 (No. 36), with a = 12.021 Å, b = 15.417 Å, c = 7.444 Å, α = 90.00°, β = 90.00° and γ = 90.00°. The inequivalent atoms are Pr at (0.000, 0.006, 0.000), Pr at (0.000, 0.240, 0.909), Pr at (0.154, 0.253, 0.397), Pr at (0.169, 0.466, 0.900), Ni at (0.000, 0.142, 0.241), Sn at (0.000, 0.393, 0.597) and Sn at (0.179, 0.113, 0.718).



18.
DFT (PBE) results for a relaxed structure of MoP2Br.

The energy above the most stable polymorph in this dataset comes out at 387 meV/atom. For the uncorrected formation energy, the calculation gives 0.27 eV per atom.

It has space group P2/m (No. 10), with a = 3.641 Å, b = 4.516 Å, c = 5.232 Å, α = 90.00°, β = 109.94° and γ = 90.00°. The inequivalent atoms are Mo at (0.000, 0.000, 0.000), P at (0.186, 0.500, 0.868) and Br at (0.500, 0.000, 0.500).



19.
DFT (PBE) results for a relaxed structure of TaCrSe4.

For the uncorrected formation energy, the calculation gives -0.51 eV per atom.

It has space group P2_1/c (No. 14), with a = 7.163 Å, b = 5.632 Å, c = 7.361 Å, α = 90.00°, β = 119.53° and γ = 90.00°. The inequivalent atoms are Ta at (0.000, 0.000, 0.000), Cr at (0.500, 0.000, 0.000), Se at (0.179, 0.230, 0.353) and Se at (0.326, 0.726, 0.146).



20.
DFT (PBE) results for a relaxed structure of Tm5Te2Pd.

The energy above the most stable polymorph in this dataset comes out at 0 meV/atom. For the uncorrected formation energy, the calculation gives -0.79 eV per atom.

It has space group Pbam (No. 55), with a = 8.073 Å, b = 13.327 Å, c = 3.996 Å, α = 90.00°, β = 90.00° and γ = 90.00°. The inequivalent atoms are Tm at (0.000, 0.000, 0.000), Tm at (0.162, 0.313, 0.000), Tm at (0.174, 0.591, 0.500), Te at (0.042, 0.820, 0.500) and Pd at (0.000, 0.500, 0.000).